The following is a DFT calculation (PBE-GGA) of K3Ag2I4Br2 after structural relaxation.

The structure belongs to space group I4/mmm (No. 139); the cell edges are 5.599, 5.599 and 28.374 Å and the angles 90.00°, 90.00° and 90.00°. The inequivalent atoms are K at (0.000, 0.000, 0.000), K at (0.000, 0.000, 0.184), Ag at (0.000, 0.000, 0.393), I at (0.000, 0.500, 0.083) and Br at (0.000, 0.000, 0.297).

The value obtained for the formation energy from raw total energies is -10.18 eV/f.u. Its density of states at the Fermi level is 2.710 states/eV/f.u. The value obtained for the magnetization is 0.00 μB/f.u.